[1]
Sm5YIn3: optimized geometry, PBE.

ΔE_f in eV per atom: -0.35
E in eV/atom: -4.6073

Unit cell a=6.8506 b=9.5017 c=9.4998 alpha=120.01 beta=90.00 gamma=90.00
Site moments in Bohr magnetons follow the coordinates.
Positions (direct):
1 In 0.2500 0.0000 0.3259  0.00
2 In 0.7500 0.6741 0.0000  0.00
3 In 0.7500 0.0000 0.6741  0.00
4 In 0.2500 0.3259 0.0000  0.00
5 In 0.7500 0.3259 0.3259  0.00
6 In 0.2500 0.6741 0.6741  0.00
7 Y 0.5000 0.0000 0.0000  0.09
8 Y 0.0000 0.0000 0.0000  0.09
9 Sm 0.7500 0.6615 0.6614  0.06
10 Sm 0.5000 0.3335 0.6670  0.11
11 Sm 0.2500 0.3385 0.3386  0.06
12 Sm 0.7500 0.3384 0.0000  0.06
13 Sm 0.0000 0.6665 0.3330  0.11
14 Sm 0.0000 0.3335 0.6670  0.11
15 Sm 0.5000 0.6665 0.3330  0.11
16 Sm 0.7500 0.0001 0.3386  0.06
17 Sm 0.2500 0.6616 0.0000  0.06
18 Sm 0.2500 0.9999 0.6614  0.06



[2]
Li3SmAu3: optimized geometry, PBE.

ΔE_f in eV per atom: -0.49
E in eV/atom: -3.3915
ΔE to the lowest computed polymorph in kcal/mol of atoms: 0.000

Unit cell a=6.9236 b=6.9236 c=7.8191 alpha=63.72 beta=63.72 gamma=60.00
Positions (direct):
1 Au 0.6877 0.9336 0.2068
2 Au 0.0664 0.8281 0.7932
3 Au 0.9336 0.1719 0.2068
4 Au 0.1719 0.6877 0.2068
5 Au 0.8281 0.3123 0.7932
6 Au 0.3123 0.0664 0.7932
7 Li 0.2583 0.9113 0.3987
8 Li 0.4317 0.2583 0.3987
9 Li 0.9113 0.4317 0.3987
10 Li 0.5683 0.7417 0.6013
11 Li 0.7417 0.0887 0.6013
12 Li 0.0887 0.5683 0.6013
13 Sm 0.3388 0.3388 0.9837
14 Sm 0.6612 0.6612 0.0163



[3]
MgTi3Al: optimized geometry, PBE.

ΔE_f in eV per atom: 0.70
E in eV/atom: -5.1064
ΔE to the lowest computed polymorph in kcal/mol of atoms: 0.000

Unit cell a=4.7851 b=4.7851 c=4.7851 alpha=90.00 beta=90.00 gamma=90.00
Positions (direct):
1 Al 0.0000 0.0000 0.0000
2 Mg 0.5000 0.5000 0.5000
3 Ti 0.0000 0.5000 0.0000
4 Ti 0.5000 0.0000 0.0000
5 Ti 0.0000 0.0000 0.5000



[4]
Ca3In2Hg4: optimized geometry, PBE.

ΔE_f in eV per atom: -0.46
E in eV/atom: -1.8650

Unit cell a=4.9694 b=6.2058 c=9.4048 alpha=114.69 beta=90.00 gamma=113.60
Positions (direct):
1 In 0.6166 0.2332 0.2824
2 In 0.3834 0.7668 0.7176
3 Ca 0.0000 0.0000 0.0000
4 Ca 0.6604 0.3207 0.6729
5 Ca 0.3396 0.6793 0.3271
6 Hg 0.7066 0.4131 0.0425
7 Hg 0.9265 0.8530 0.5943
8 Hg 0.0735 0.1470 0.4057
9 Hg 0.2934 0.5869 0.9575



Q: Among the records above, which one has the highest E?
A: Ca3In2Hg4



Q: Among the records above, which one has the lowest ΔE_f?
A: Li3SmAu3



Q: Which formula does entry 4 have?
A: Ca3In2Hg4